Entry 1:
DFT (GGA-PBE) results for an optimized crystal structure of Tm6Pd2N.

a b c (Å): 6.4461 6.8498 9.3462
angles (deg): 90.00 89.17 90.00
With the nearest neighbours (Å) after each atom.
Fractional coordinates of all 18 atoms:
Tm 0.1825 0.3004 0.5530  1 N 2.42
Tm 0.6051 0.4736 0.7572  1 N 2.37
Tm 0.8175 0.6996 0.4470  1 N 2.42
Tm 0.1961 0.3154 0.9469  1 N 2.39
Tm 0.1051 0.0264 0.2572  1 N 2.37
Tm 0.3039 0.8154 0.5531  1 N 2.39
Tm 0.6961 0.1846 0.4469  1 N 2.39
Tm 0.8039 0.6846 0.0531  1 N 2.39
Tm 0.3175 0.8004 0.9470  1 N 2.42
Tm 0.3949 0.5264 0.2428  1 N 2.37
Tm 0.6825 0.1996 0.0530  1 N 2.42
Tm 0.8949 0.9736 0.7428  1 N 2.37
Pd 0.5315 0.9204 0.2508  6 Tm 2.80-3.02
Pd 0.9685 0.4204 0.2492  6 Tm 2.80-3.02
Pd 0.0315 0.5796 0.7508  6 Tm 2.80-3.02
Pd 0.4685 0.0796 0.7492  6 Tm 2.80-3.02
N 0.5000 0.5000 0.0000  6 Tm 2.37-2.42
N 0.0000 0.0000 0.5000  6 Tm 2.37-2.42

Calculated values
Final energy = -5.886 eV/atom
Total moment = 0.0 Bohr magnetons per cell
DOS at the Fermi energy = 8.145 states/eV/f.u.
Formation energy without anion corrections = -0.8259 eV per atom

Entry 2:
DFT (GGA-PBE) results for an optimized crystal structure of Tm2PdN.

a b c (Å): 3.1391 3.1391 6.6979
angles (deg): 90.00 90.00 90.00
With the nearest neighbours (Å) after each atom.
Fractional coordinates of all 4 atoms:
Pd 0.5000 0.5000 0.5000  8 Tm 2.94, 4 Pd 3.14
Tm 0.0000 0.0000 0.7874  4 N 2.64, 1 Tm 2.85, 4 Pd 2.94
Tm 0.0000 0.0000 0.2126  4 N 2.64, 1 Tm 2.85, 4 Pd 2.94
N 0.5000 0.5000 0.0000  8 Tm 2.64

Calculated values
ΔE to the lowest computed polymorph = 89 meV per atom
Final energy = -6.350 eV/atom
Total moment = 0.0 Bohr magnetons per cell
DOS at the Fermi energy = 2.085 states/eV/f.u.
Formation energy without anion corrections = -0.7348 eV per atom

Entry 3:
DFT (GGA-PBE) results for an optimized crystal structure of Tm2PdN.

a b c (Å): 3.3102 3.3102 8.2077
angles (deg): 78.37 78.37 60.00
With the nearest neighbours (Å) after each atom.
Fractional coordinates of all 4 atoms:
Tm 0.1102 0.1102 0.6693  3 N 2.34
Tm 0.8898 0.8898 0.3307  3 N 2.34
N 0.5000 0.5000 0.5000  6 Tm 2.34
Pd 0.0000 0.0000 0.0000  2 Tm 2.64

Calculated values
ΔE to the lowest computed polymorph = 0 meV per atom
Final energy = -6.439 eV/atom
Total moment = 0.0 Bohr magnetons per cell
DOS at the Fermi energy = 1.866 states/eV/f.u.
Formation energy without anion corrections = -0.8234 eV per atom

Entry 4:
DFT (GGA-PBE) results for an optimized crystal structure of V2PdN.

a b c (Å): 2.8917 2.8917 6.7295
angles (deg): 77.59 77.59 60.00
With the nearest neighbours (Å) after each atom.
Fractional coordinates of all 4 atoms:
V 0.0558 0.0558 0.8327  3 N 2.00
V 0.2781 0.2781 0.1656  3 N 1.99
N 0.6666 0.6666 0.0003  6 V 1.99-2.00
Pd 0.4995 0.4995 0.5014  6 V 2.73-2.75, 6 Pd 2.89

Calculated values
Final energy = -8.659 eV/atom
Total moment = 0.0 Bohr magnetons per cell
DOS at the Fermi energy = 3.181 states/eV/f.u.
Formation energy without anion corrections = -0.7203 eV per atom

Entry 5:
DFT (GGA-PBE) results for an optimized crystal structure of VPdN2.

a b c (Å): 4.6753 4.6753 5.5482
angles (deg): 65.08 65.08 90.00
With the nearest neighbours (Å) after each atom.
Fractional coordinates of all 8 atoms:
V 0.5000 0.5000 0.0000  4 N 1.85
V 0.2500 0.7500 0.5000  4 N 1.85
N 0.3750 0.4330 0.7500  2 V 1.85
N 0.8750 0.8170 0.7500  2 V 1.85
N 0.5670 0.1250 0.2500  2 V 1.85
N 0.1830 0.6250 0.2500  2 V 1.85
Pd 0.0000 0.0000 0.0000  4 N 2.16
Pd 0.7500 0.2500 0.5000  4 N 2.16

Calculated values
ΔE to the lowest computed polymorph = 21 meV per atom
Final energy = -7.955 eV/atom
Total moment = 0.0 Bohr magnetons per cell
DOS at the Fermi energy = 3.898 states/eV/f.u.
Formation energy without anion corrections = -0.2147 eV per atom

Entry 6:
DFT (GGA-PBE) results for an optimized crystal structure of VPdN.

a b c (Å): 3.3909 3.9870 5.8079
angles (deg): 90.00 70.68 90.00
With the nearest neighbours (Å) after each atom.
Fractional coordinates of all 6 atoms:
V 0.2945 0.2500 0.4207  4 N 1.92-1.99
V 0.7055 0.7500 0.5793  4 N 1.92-1.99
Pd 0.7916 0.2500 0.9258  1 N 2.08
Pd 0.2084 0.7500 0.0742  1 N 2.08
N 0.3057 0.7500 0.4095  4 V 1.92-1.99, 1 Pd 2.08
N 0.6943 0.2500 0.5905  4 V 1.92-1.99, 1 Pd 2.08

Calculated values
Final energy = -8.005 eV/atom
Total moment = 0.0 Bohr magnetons per cell
DOS at the Fermi energy = 1.889 states/eV/f.u.
Formation energy without anion corrections = -0.4597 eV per atom

Entry 7:
DFT (GGA-PBE) results for an optimized crystal structure of V2PdN.

a b c (Å): 2.9089 2.9089 6.7011
angles (deg): 77.46 77.46 60.00
With the nearest neighbours (Å) after each atom.
Fractional coordinates of all 4 atoms:
V 0.7211 0.7211 0.8367  3 N 1.99
V 0.2789 0.2789 0.1633  3 N 1.99
N 0.0000 0.0000 0.0000  6 V 1.99
Pd 0.5000 0.5000 0.5000  6 V 2.76, 6 Pd 2.91

Calculated values
Final energy = -8.653 eV/atom
Total moment = 0.0 Bohr magnetons per cell
DOS at the Fermi energy = 3.487 states/eV/f.u.
Formation energy without anion corrections = -0.7145 eV per atom

Entry 8:
DFT (GGA-PBE) results for an optimized crystal structure of VPdN2.

a b c (Å): 3.7845 3.7845 3.7845
angles (deg): 60.00 60.00 60.00
With the nearest neighbours (Å) after each atom.
Fractional coordinates of all 4 atoms:
N 0.2500 0.2500 0.2500  4 Pd 2.32, 4 V 2.32
N 0.7500 0.7500 0.7500  4 Pd 2.32, 4 V 2.32
V 0.0000 0.0000 0.0000  8 N 2.32
Pd 0.5000 0.5000 0.5000  8 N 2.32

Calculated values
ΔE to the lowest computed polymorph = 934 meV per atom
Final energy = -7.042 eV/atom
Total moment = 0.0 Bohr magnetons per cell
DOS at the Fermi energy = 3.080 states/eV/f.u.
Formation energy without anion corrections = 0.6987 eV per atom

Which value of total moment does entry 7 give?
0.0 Bohr magnetons per cell

Which of these has the highest formation energy without anion corrections?
number 8

Repeat the sixth record exactly.
DFT (GGA-PBE) results for an optimized crystal structure of VPdN.

a b c (Å): 3.3909 3.9870 5.8079
angles (deg): 90.00 70.68 90.00
With the nearest neighbours (Å) after each atom.
Fractional coordinates of all 6 atoms:
V 0.2945 0.2500 0.4207  4 N 1.92-1.99
V 0.7055 0.7500 0.5793  4 N 1.92-1.99
Pd 0.7916 0.2500 0.9258  1 N 2.08
Pd 0.2084 0.7500 0.0742  1 N 2.08
N 0.3057 0.7500 0.4095  4 V 1.92-1.99, 1 Pd 2.08
N 0.6943 0.2500 0.5905  4 V 1.92-1.99, 1 Pd 2.08

Calculated values
Final energy = -8.005 eV/atom
Total moment = 0.0 Bohr magnetons per cell
DOS at the Fermi energy = 1.889 states/eV/f.u.
Formation energy without anion corrections = -0.4597 eV per atom